# 1
DFT (PBE) results for a relaxed structure of Sr3AsI2.

Summary:
theoretical density	3.91	g cm⁻³
magnetization	0.0	μB per formula unit
total DFT energy (no corrections)	-40.46	eV per cell

```
12
Lattice="8.608 0.000 0.000 0.000 7.757 -3.902 0.000 -1.900 8.473" Properties=species:S:1:pos:R:3 pbc="T T T"
Sr 6.456 2.948 2.301
Sr 2.152 2.909 2.270
Sr 4.304 -0.646 6.866
Sr 0.000 -0.646 6.866
Sr 4.304 6.503 -2.296
Sr 0.000 6.503 -2.296
As 2.152 0.508 0.397
As 6.456 5.349 4.174
I 2.152 5.831 0.525
I 6.456 0.026 4.046
I 6.456 3.931 -0.958
I 2.152 1.926 5.529
```



# 2
DFT (PBE) results for a relaxed structure of Sr4As2I5.

Summary:
theoretical density	3.76	g cm⁻³
energy above the most stable polymorph in this dataset	0	kJ/mol of formula units
magnetization	0.2	μB per formula unit

```
11
Lattice="-0.437 -4.034 1.891 3.228 3.341 7.874 -11.489 4.545 1.741" Properties=species:S:1:pos:R:3 pbc="T T T"
Sr -2.341 0.811 6.488
Sr 1.934 2.511 5.803
Sr -6.357 3.042 5.018
Sr -10.633 1.342 5.703
As 0.200 -0.208 4.901
As -8.899 4.061 6.605
I -0.785 3.543 7.376
I -7.914 0.310 4.130
I -3.462 2.098 3.674
I -0.219 -2.017 0.946
I -5.237 1.755 7.832
```



# 3
DFT (PBE) results for a relaxed structure of Sr2AsI.

Summary:
theoretical density	3.20	g cm⁻³
magnetization	0.0	μB per formula unit
total DFT energy (no corrections)	-28.24	eV per cell

```
8
Lattice="7.360 0.000 0.000 0.000 7.360 0.000 3.680 3.680 7.220" Properties=species:S:1:pos:R:3 pbc="T T T"
I 0.000 0.000 0.000
I 7.360 3.680 3.610
Sr 5.128 1.840 1.805
Sr 2.232 5.520 1.805
Sr 5.520 5.912 5.415
Sr 9.200 8.808 5.415
As 3.680 3.680 0.000
As 3.680 7.360 3.610
```